Nd3Ga2Ru2, relaxed, DFT GGA-PBE; space-group type = Pbcm, No. 57; V = 22.8 Å³/atom; DFT formation energy = -469 meV/atom
1.0
5.720 0.000 0.000
0.000 7.946 0.000
0.000 0.000 14.021
Nd Ga Ru
12 8 8
Direct
0.154 0.598 0.095 Nd
0.846 0.402 0.595 Nd
0.846 0.098 0.405 Nd
0.154 0.902 0.905 Nd
0.846 0.402 0.905 Nd
0.154 0.598 0.405 Nd
0.154 0.902 0.595 Nd
0.846 0.098 0.095 Nd
0.377 0.240 0.250 Nd
0.623 0.760 0.750 Nd
0.623 0.740 0.250 Nd
0.377 0.260 0.750 Nd
0.375 0.250 0.000 Ga
0.625 0.750 0.500 Ga
0.625 0.750 0.000 Ga
0.375 0.250 0.500 Ga
0.867 0.395 0.250 Ga
0.133 0.605 0.750 Ga
0.133 0.895 0.250 Ga
0.867 0.105 0.750 Ga
0.643 0.468 0.094 Ru
0.357 0.532 0.594 Ru
0.357 0.968 0.406 Ru
0.643 0.032 0.906 Ru
0.357 0.532 0.906 Ru
0.643 0.468 0.406 Ru
0.643 0.032 0.594 Ru
0.357 0.968 0.094 Ru

---

CuTe3Pd2, relaxed, DFT GGA-PBE; raw formation energy = -143 meV per atom; space-group type = C2/m, No. 12; V = 23.5 Å³/atom
1.0
-2.066 -1.782 -3.073
5.779 -0.230 -3.752
2.530 -8.046 5.713
Cu Te Pd
2 6 4
Direct
0.366 0.965 0.731 Cu
0.634 0.035 0.269 Cu
0.266 0.219 0.531 Te
0.086 0.808 0.172 Te
0.421 0.606 0.841 Te
0.734 0.781 0.469 Te
0.579 0.394 0.159 Te
0.914 0.192 0.828 Te
0.290 0.607 0.579 Pd
0.710 0.393 0.421 Pd
0.951 0.833 0.903 Pd
0.049 0.167 0.097 Pd

---

K3HoCl8, relaxed, DFT GGA-PBE; raw formation energy = -1593 meV per atom; space-group type = I4/mmm, No. 139; V = 31.3 Å³/atom
1.0
-3.506 5.359 3.166
-5.924 -3.987 0.189
6.684 -3.299 4.928
K Ho Cl
3 1 8
Direct
0.750 0.250 0.500 K
0.500 0.500 0.000 K
0.250 0.750 0.500 K
0.000 0.000 0.000 Ho
0.334 0.334 0.223 Cl
0.334 0.888 0.223 Cl
0.112 0.666 0.777 Cl
0.112 0.112 0.777 Cl
0.888 0.888 0.223 Cl
0.888 0.334 0.223 Cl
0.666 0.112 0.777 Cl
0.666 0.666 0.777 Cl

---

CuIrW2, relaxed, DFT GGA-PBE; space-group type = I-42d, No. 122; V = 16.5 Å³/atom; DFT formation energy = 753 meV/atom
1.0
7.107 0.000 0.000
0.000 7.107 0.000
3.553 3.553 2.606
Ir Cu W
2 2 4
Direct
0.000 0.000 0.000 Ir
0.750 0.250 0.500 Ir
0.500 0.500 0.000 Cu
0.250 0.750 0.500 Cu
0.644 0.125 0.250 W
0.106 0.625 0.250 W
0.375 0.356 0.750 W
0.875 0.894 0.750 W

---

RbCdH, relaxed, DFT GGA-PBE; calculated total energy = -5.19 eV per cell; space-group type = P4mm, No. 99; V = 27.1 Å³/atom
1.0
-1.098 0.990 -3.353
-0.059 -3.521 -1.020
-5.778 -0.416 1.769
Rb Cd H
1 1 1
Direct
0.500 0.500 0.789 Rb
0.000 0.000 0.298 Cd
0.000 0.000 0.969 H

---

BaBe4Zn, relaxed, DFT GGA-PBE; space-group type = F-43m, No. 216; V = 15.6 Å³/atom; DFT formation energy = 647 meV/atom
1.0
-0.838 -4.888 1.185
-4.337 -2.265 -1.437
0.070 -3.557 -3.653
Ba Be Zn
1 4 1
Direct
0.000 0.000 0.000 Ba
0.846 0.385 0.385 Be
0.385 0.385 0.846 Be
0.385 0.846 0.385 Be
0.385 0.385 0.385 Be
0.750 0.750 0.750 Zn